[1]
! NdErZnSi, relaxed, DFT PBE-GGA; values from VASP
! ΔE_f (raw): -0.5343 eV/atom
! DOS(E_F): 0.96 states/eV/atom
! offset from the most stable computed form: 0.0 kJ/mol of atoms
&SYSTEM
  ibrav = 0, nat = 4, ntyp = 4
/
ATOMIC_SPECIES
Nd 144.24 Nd.upf
Er 167.26 Er.upf
Zn 65.41 Zn.upf
Si 28.09 Si.upf
CELL_PARAMETERS angstrom
4.2111 0.0000 0.0000
0.0000 4.0727 0.0000
-2.1056 0.0000 5.5442
ATOMIC_POSITIONS crystal
Nd 0.1465 0.0000 0.2931
Er 0.8617 0.5000 0.7234
Zn 0.5656 0.5000 0.1312
Si 0.4262 0.0000 0.8523

---

[2]
! NdSmEr, relaxed, DFT PBE-GGA; values from VASP
! DOS(E_F): 1.50 states/eV/atom
! offset from the most stable computed form: 4.8 kJ/mol of atoms
! formation energy: 0.07 eV/atom
&SYSTEM
  ibrav = 0, nat = 3, ntyp = 3
/
ATOMIC_SPECIES
Nd 144.24 Nd.upf
Sm 150.36 Sm.upf
Er 167.26 Er.upf
CELL_PARAMETERS angstrom
-1.2968 3.2507 -0.2500
-4.1409 -1.3693 3.6747
4.9344 2.1163 1.9233
ATOMIC_POSITIONS crystal
Nd 0.1658 0.0000 0.0000
Sm 0.6666 0.6667 0.3333
Er 0.1676 0.3333 0.6667

---

[3]
! Nd3SmEr5, relaxed, DFT PBE-GGA; values from VASP
! DOS(E_F): 1.35 states/eV/atom
! formation energy: 0.52 eV/atom
&SYSTEM
  ibrav = 0, nat = 18, ntyp = 3
/
ATOMIC_SPECIES
Nd 144.24 Nd.upf
Sm 150.36 Sm.upf
Er 167.26 Er.upf
CELL_PARAMETERS angstrom
1.4833 -9.2977 1.5389
4.0171 -3.6353 -7.8526
10.0590 -5.8848 -0.8342
ATOMIC_POSITIONS crystal
Nd 0.7020 0.7020 0.8067
Nd 0.6605 0.6605 0.3657
Nd 0.0000 0.0000 0.0000
Nd 0.0000 0.0000 0.5000
Nd 0.2980 0.2980 0.1933
Nd 0.3395 0.3395 0.6343
Sm 0.1550 0.1550 0.5980
Sm 0.8450 0.8450 0.4020
Er 0.8450 0.3477 0.2467
Er 0.2592 0.7408 0.0000
Er 0.8137 0.8137 0.9636
Er 0.4926 0.4926 0.2222
Er 0.5074 0.5074 0.7778
Er 0.1863 0.1863 0.0364
Er 0.3477 0.8450 0.2467
Er 0.7408 0.2592 0.0000
Er 0.1550 0.6523 0.7533
Er 0.6523 0.1550 0.7533